Record 1
An optimized crystal structure of ReSb2CI, computed with PBE.

Results
offset from the most stable computed form = 186 meV per atom
formation energy (no corrections) = 1.9275 eV per atom
crystal system = tetragonal
magnetization = 0.321 μB/atom

Cell lengths 5.080, 5.080, 5.819 Å; angles 90.00, 90.00, 90.00 degrees
Fractional positions:
I  0.000  0.000  0.500
Re  0.000  0.000  0.000
C  0.500  0.500  0.500
Sb  0.000  0.500  0.000
Sb  0.500  0.000  0.000

Record 2
An optimized crystal structure of TlReCI2, computed with PBE.

Results
formation energy (no corrections) = 2.0402 eV per atom
crystal system = tetragonal
magnetization = 0.946 μB/atom

Cell lengths 5.217, 4.801, 5.217 Å; angles 90.00, 90.00, 90.00 degrees
Fractional positions:
I  0.000  0.000  0.500
I  0.500  0.000  0.000
Re  0.500  0.500  0.500
Tl  0.000  0.500  0.000
C  0.000  0.000  0.000

Record 3
An optimized crystal structure of RhCI2, computed with PBE.

Results
offset from the most stable computed form = 413 meV per atom
formation energy (no corrections) = 1.8724 eV per atom
crystal system = cubic
magnetization = 0.000 μB/atom

Cell lengths 4.796, 4.796, 4.796 Å; angles 60.00, 60.00, 60.00 degrees
Fractional positions:
I  0.250  0.250  0.250
I  0.750  0.750  0.750
C  0.000  0.000  0.000
Rh  0.500  0.500  0.500

Record 4
An optimized crystal structure of Rh3CI, computed with PBE.

Results
offset from the most stable computed form = 1947 meV per atom
formation energy (no corrections) = 2.4999 eV per atom
crystal system = cubic
magnetization = 0.151 μB/atom

Cell lengths 4.835, 4.835, 4.835 Å; angles 90.00, 90.00, 90.00 degrees
Fractional positions:
I  0.000  0.000  0.000
C  0.500  0.500  0.500
Rh  0.000  0.500  0.000
Rh  0.000  0.000  0.500
Rh  0.500  0.000  0.000

Record 5
An optimized crystal structure of Rh3CI, computed with PBE.

Results
offset from the most stable computed form = 0 meV per atom
formation energy (no corrections) = 0.5532 eV per atom
crystal system = cubic
magnetization = 0.215 μB/atom

Cell lengths 4.222, 4.222, 4.222 Å; angles 90.00, 90.00, 90.00 degrees
Fractional positions:
I  0.500  0.500  0.500
C  0.000  0.000  0.000
Rh  0.000  0.500  0.000
Rh  0.000  0.000  0.500
Rh  0.500  0.000  0.000

Record 6
An optimized crystal structure of RhCI3, computed with PBE.

Results
offset from the most stable computed form = 42 meV per atom
formation energy (no corrections) = 1.6021 eV per atom
crystal system = cubic
magnetization = 0.396 μB/atom

Cell lengths 4.994, 4.994, 4.994 Å; angles 90.00, 90.00, 90.00 degrees
Fractional positions:
I  0.000  0.500  0.000
I  0.000  0.000  0.500
I  0.500  0.000  0.000
C  0.000  0.000  0.000
Rh  0.500  0.500  0.500